Computed, not measured: crystalline Te2PbBr at its relaxed geometry at the PBE level of DFT.

The value obtained for the density of states at the Fermi level is 0.59 states/eV per atom. As for the excess energy over the best structure of this formula in the dataset: 0.125 eV per atom. The value obtained for the formation energy from raw total energies is -0.2539 eV per atom.

```
Te2PbBr
1.0
-1.6543 -5.2256 -0.1393
1.7096 -4.5771 -2.4880
4.4448 -3.9235 5.2826
Te Br Pb
2 1 1
direct
0.9910 0.9910 0.9680
0.7430 0.7430 0.8727
0.5444 0.5444 0.4433
0.2217 0.2217 0.2160
```



Computed, not measured: crystalline Tl2TePbBr at its relaxed geometry at the PBE level of DFT.

The value obtained for the density of states at the Fermi level is 0.39 states/eV per atom. The value obtained for the formation energy from raw total energies is 0.0148 eV per atom.

```
Tl2TePbBr
1.0
6.3778 0.0000 0.0000
0.0000 5.7109 0.0000
0.0000 0.0000 6.3778
Pb Tl Br Te
1 2 1 1
direct
0.0000 0.0000 0.0000
0.5000 0.0000 0.0000
0.0000 0.0000 0.5000
0.5000 0.5000 0.5000
0.0000 0.5000 0.0000
```



Computed, not measured: crystalline VTePbBr2 at its relaxed geometry at the PBE level of DFT.

The value obtained for the density of states at the Fermi level is 1.17 states/eV per atom. The value obtained for the formation energy from raw total energies is -0.0290 eV per atom.

```
VTePbBr2
1.0
-1.3163 3.7752 -2.6031
-4.6883 -3.2896 -2.4001
-2.8381 1.4565 3.5475
V Br Pb Te
1 2 1 1
direct
0.0000 0.0000 0.0000
0.0000 0.0000 0.5000
0.5000 0.0000 0.0000
0.0000 0.5000 0.0000
0.5000 0.5000 0.5000
```



Computed, not measured: crystalline TePb2WBr at its relaxed geometry at the PBE level of DFT.

The value obtained for the density of states at the Fermi level is 0.88 states/eV per atom. The value obtained for the formation energy from raw total energies is 1.6101 eV per atom.

```
TePb2WBr
1.0
-4.2952 3.5805 -0.2593
-3.4527 -4.2605 -1.6385
-1.2181 -1.0732 5.3573
Pb Te W Br
2 1 1 1
direct
0.5000 0.0000 0.0000
0.0000 0.0000 0.5000
0.0000 0.5000 0.0000
0.5000 0.5000 0.5000
0.0000 0.0000 0.0000
```



Computed, not measured: crystalline ThPbBr6 at its relaxed geometry at the PBE level of DFT.

The value obtained for the density of states at the Fermi level is 0.00 states/eV per atom. The value obtained for the formation energy from raw total energies is -1.4064 eV per atom.

```
ThPbBr6
1.0
-0.9478 6.8026 2.5257
-4.2179 1.1714 5.8633
3.6408 1.9190 6.8036
Br Pb Th
6 1 1
direct
0.4042 0.7647 0.7569
0.2357 0.9258 0.2428
0.5958 0.2353 0.2431
0.7643 0.0742 0.7572
0.9259 0.5956 0.2430
0.0741 0.4044 0.7570
0.5000 0.5000 0.5000
0.0000 0.0000 0.0000
```



Computed, not measured: crystalline TiPb3Br at its relaxed geometry at the PBE level of DFT.

The value obtained for the density of states at the Fermi level is 1.43 states/eV per atom. As for the excess energy over the best structure of this formula in the dataset: 0.798 eV per atom. The value obtained for the formation energy from raw total energies is 0.9171 eV per atom.

```
TiPb3Br
1.0
5.6114 0.0000 0.0000
0.0000 5.6114 0.0000
0.0000 0.0000 5.6114
Pb Br Ti
3 1 1
direct
0.0000 0.5000 0.0000
0.5000 0.0000 0.0000
0.0000 0.0000 0.5000
0.0000 0.0000 0.0000
0.5000 0.5000 0.5000
```



Computed, not measured: crystalline TiPb2Br at its relaxed geometry at the PBE level of DFT.

The value obtained for the density of states at the Fermi level is 1.36 states/eV per atom. As for the excess energy over the best structure of this formula in the dataset: 0.000 eV per atom. The value obtained for the formation energy from raw total energies is 0.2952 eV per atom.

```
TiPb2Br
1.0
4.3860 0.0000 0.0000
0.0000 4.3860 0.0000
2.1930 2.1930 11.8809
Ti Br Pb
2 2 4
direct
0.5000 0.5000 0.0000
0.2500 0.7500 0.5000
0.7500 0.2500 0.5000
0.0000 0.0000 0.0000
0.6162 0.1250 0.2500
0.8750 0.8662 0.7500
0.3750 0.3838 0.7500
0.1338 0.6250 0.2500
```



Computed, not measured: crystalline TiPbBr2 at its relaxed geometry at the PBE level of DFT.

The value obtained for the density of states at the Fermi level is 0.44 states/eV per atom. As for the excess energy over the best structure of this formula in the dataset: 0.546 eV per atom. The value obtained for the formation energy from raw total energies is -0.0905 eV per atom.

```
TiPbBr2
1.0
-1.9431 -6.9236 0.4231
3.4091 -1.3358 -6.2036
5.3152 -5.2471 -0.1316
Br Pb Ti
4 2 2
direct
0.8750 0.7846 0.7500
0.3750 0.4654 0.7500
0.2154 0.6250 0.2500
0.5346 0.1250 0.2500
0.0000 0.0000 0.0000
0.7500 0.2500 0.5000
0.5000 0.5000 0.0000
0.2500 0.7500 0.5000
```